1.
{"formula": "DySc2Ti", "functional": "GGA-PBE", "state": "relaxed", "space_group": "No. 160", "crystal_system": "trigonal", "de_polymorph_mev_per_atom": 0.0, "formation_enthalpy_0k_ev_per_atom": 0.138, "cell": [[3.2581, 0.0000, 0.0000], [1.6291, 2.8216, 0.0000], [1.6291, 0.9405, 10.4324]], "species": ["Sc", "Sc", "Ti", "Dy"], "frac_coords": [[0.0753, 0.0753, 0.7742], [0.2579, 0.2579, 0.2263], [0.6661, 0.6661, 0.0018], [0.5007, 0.5007, 0.4978]]}

***

2.
{"formula": "AcGa4Ni2", "functional": "GGA-PBE", "state": "relaxed", "space_group": "No. 65", "crystal_system": "orthorhombic", "de_polymorph_mev_per_atom": 0.0, "formation_enthalpy_0k_ev_per_atom": -0.364, "cell": [[4.3504, 0.0000, 0.0000], [0.0000, 4.3727, 0.0000], [0.0000, -2.1863, 6.7786]], "species": ["Ni", "Ni", "Ga", "Ga", "Ga", "Ga", "Ac"], "frac_coords": [[0.5000, 0.4035, 0.8071], [0.5000, 0.5965, 0.1929], [0.5000, 0.8162, 0.6324], [0.0000, 0.3163, 0.6325], [0.5000, 0.1838, 0.3676], [0.0000, 0.6837, 0.3675], [0.0000, 0.0000, 0.0000]]}

***

3.
{"formula": "KRbGeN2", "functional": "GGA-PBE", "state": "relaxed", "space_group": "No. 123", "crystal_system": "tetragonal", "e_form_raw_mev_per_atom": 1156, "cell": [[-1.2391, 2.6420, -3.0988], [-5.0139, -1.7950, 0.4744], [-0.8059, 3.0159, 2.8936]], "species": ["Ge", "N", "N", "K", "Rb"], "frac_coords": [[0.0000, 0.0000, 0.0000], [0.5000, 0.0000, 0.0000], [0.0000, 0.0000, 0.5000], [0.0000, 0.5000, 0.0000], [0.5000, 0.5000, 0.5000]]}

***

4.
{"formula": "Cr5Os4", "functional": "GGA-PBE", "state": "relaxed", "space_group": "No. 139", "crystal_system": "tetragonal", "de_polymorph_mev_per_atom": 0.0, "formation_enthalpy_0k_ev_per_atom": 0.161, "cell": [[-2.6630, -0.7657, 5.2146], [4.0054, 3.3107, -2.8046], [-4.6987, 2.3026, -2.7368]], "species": ["Os", "Os", "Os", "Os", "Cr", "Cr", "Cr", "Cr", "Cr"], "frac_coords": [[0.3270, 0.0000, 0.3270], [0.0000, 0.3270, 0.3270], [0.0000, 0.6730, 0.6730], [0.6730, 0.0000, 0.6730], [0.3332, 0.3332, 0.6664], [0.6668, 0.6668, 0.3336], [0.3332, 0.6668, 0.0000], [0.0000, 0.0000, 0.0000], [0.6668, 0.3332, 0.0000]]}

***

5.
{"formula": "Pm2Pr7In2", "functional": "GGA-PBE", "state": "relaxed", "space_group": "No. 12", "crystal_system": "monoclinic", "formation_enthalpy_0k_ev_per_atom": -0.040, "cell": [[-5.3932, -2.3045, 6.0611], [0.3598, -5.9175, -3.2984], [5.7717, -0.7269, 3.4907]], "species": ["Pr", "Pr", "Pr", "Pr", "Pr", "Pr", "Pr", "Pm", "Pm", "In", "In"], "frac_coords": [[0.8250, 0.5229, 0.0997], [0.5156, 0.6857, 0.6857], [0.1750, 0.9003, 0.4771], [0.1750, 0.4771, 0.9003], [0.4844, 0.3143, 0.3143], [0.0000, 0.0000, 0.0000], [0.8250, 0.0997, 0.5229], [0.5000, 0.1776, 0.8224], [0.5000, 0.8224, 0.1776], [0.8661, 0.6079, 0.6079], [0.1339, 0.3921, 0.3921]]}

***

6.
{"formula": "Sm4Se", "functional": "GGA-PBE", "state": "relaxed", "space_group": "No. 221", "crystal_system": "cubic", "e_form_raw_mev_per_atom": -489, "cell": [[-3.5342, -4.1290, -1.2718], [4.3159, -3.4490, -0.7961], [-0.1970, -1.4874, 5.3764]], "species": ["Sm", "Sm", "Sm", "Sm", "Se"], "frac_coords": [[0.5000, 0.5000, 0.0000], [0.0000, 0.0000, 0.0000], [0.0000, 0.5000, 0.5000], [0.5000, 0.0000, 0.5000], [0.5000, 0.5000, 0.5000]]}

***

7.
{"formula": "PmPaMn2", "functional": "GGA-PBE", "state": "relaxed", "space_group": "No. 166", "crystal_system": "trigonal", "formation_enthalpy_0k_ev_per_atom": 0.097, "cell": [[4.2943, 0.0000, 0.0000], [2.1472, 3.7190, 0.0000], [2.1472, 1.2397, 5.2708]], "species": ["Mn", "Mn", "Pm", "Pa"], "frac_coords": [[0.2008, 0.2008, 0.3975], [0.7992, 0.7992, 0.6025], [0.0000, 0.0000, 0.0000], [0.5000, 0.5000, 0.5000]]}

***

8.
{"formula": "YMg2Os", "functional": "GGA-PBE", "state": "relaxed", "space_group": "No. 47", "crystal_system": "orthorhombic", "de_polymorph_mev_per_atom": 109.2, "formation_enthalpy_0k_ev_per_atom": 0.094, "cell": [[4.0941, 0.0000, 0.0000], [0.0000, 4.1366, 0.0000], [0.0000, 0.0000, 4.7853]], "species": ["Os", "Mg", "Mg", "Y"], "frac_coords": [[0.5000, 0.0000, 0.5000], [0.0000, 0.0000, 0.0000], [0.5000, 0.5000, 0.0000], [0.0000, 0.5000, 0.5000]]}

***

9.
{"formula": "Pm2Dy3Pb4", "functional": "GGA-PBE", "state": "relaxed", "space_group": "No. 64", "crystal_system": "orthorhombic", "de_polymorph_mev_per_atom": 12.8, "formation_enthalpy_0k_ev_per_atom": -0.435, "cell": [[7.1518, 0.0000, 0.0000], [0.0000, 9.0545, 0.0000], [-3.5759, 0.0000, 8.6478]], "species": ["Pb", "Pb", "Pb", "Pb", "Pb", "Pb", "Pb", "Pb", "Pm", "Pm", "Pm", "Pm", "Dy", "Dy", "Dy", "Dy", "Dy", "Dy"], "frac_coords": [[0.3138, 0.4446, 0.6276], [0.1862, 0.9446, 0.3724], [0.7797, 0.2500, 0.0595], [0.2797, 0.2500, 0.0595], [0.2203, 0.7500, 0.9405], [0.6862, 0.5554, 0.3724], [0.7203, 0.7500, 0.9405], [0.8138, 0.0554, 0.6276], [0.3882, 0.0899, 0.7764], [0.6118, 0.9101, 0.2236], [0.8882, 0.4101, 0.7764], [0.1118, 0.5899, 0.2236], [0.9559, 0.2500, 0.4118], [0.0000, 0.0000, 0.0000], [0.0441, 0.7500, 0.5882], [0.4559, 0.2500, 0.4118], [0.5441, 0.7500, 0.5882], [0.5000, 0.5000, 0.0000]]}

***

10.
{"formula": "Co2TeW", "functional": "GGA-PBE", "state": "relaxed", "space_group": "No. 122", "crystal_system": "tetragonal", "e_form_raw_mev_per_atom": 860, "cell": [[5.5256, 0.0000, 0.0000], [0.0000, 5.5256, 0.0000], [2.7628, 2.7628, 5.3630]], "species": ["Co", "Co", "Co", "Co", "W", "W", "Te", "Te"], "frac_coords": [[0.1049, 0.6250, 0.2500], [0.3750, 0.3549, 0.7500], [0.6451, 0.1250, 0.2500], [0.8750, 0.8951, 0.7500], [0.7500, 0.2500, 0.5000], [0.0000, 0.0000, 0.0000], [0.2500, 0.7500, 0.5000], [0.5000, 0.5000, 0.0000]]}

***

11.
{"formula": "SrMn2Mo", "functional": "GGA-PBE", "state": "relaxed", "space_group": "No. 225", "crystal_system": "cubic", "de_polymorph_mev_per_atom": 653.0, "formation_enthalpy_0k_ev_per_atom": 1.139, "cell": [[2.8078, -3.5198, 0.4015], [-1.4238, -4.1587, -1.0543], [1.5835, -2.0614, -3.6982]], "species": ["Mn", "Mn", "Sr", "Mo"], "frac_coords": [[0.2500, 0.2500, 0.2500], [0.7500, 0.7500, 0.7500], [0.0000, 0.0000, 0.0000], [0.5000, 0.5000, 0.5000]]}

***

12.
{"formula": "AgSICl2", "functional": "GGA-PBE", "state": "relaxed", "space_group": "No. 123", "crystal_system": "tetragonal", "de_polymorph_mev_per_atom": 108.6, "e_form_raw_mev_per_atom": 419, "cell": [[-0.6748, 3.2145, -4.3860], [-2.0140, -4.2531, -2.8073], [-4.7530, 1.1916, 1.6046]], "species": ["Cl", "Cl", "S", "Ag", "I"], "frac_coords": [[0.5000, 0.0000, 0.0000], [0.0000, 0.5000, 0.0000], [0.0000, 0.0000, 0.5000], [0.5000, 0.5000, 0.5000], [0.0000, 0.0000, 0.0000]]}

***

13.
{"formula": "Cd2In4Hg", "functional": "GGA-PBE", "state": "relaxed", "space_group": "No. 227", "crystal_system": "cubic", "de_polymorph_mev_per_atom": 19.1, "formation_enthalpy_0k_ev_per_atom": 0.072, "cell": [[-2.7110, 9.8813, -0.9873], [-4.9343, 4.7744, 7.6695], [4.8243, 7.2358, 5.5075]], "species": ["Hg", "Hg", "Hg", "Hg", "In", "In", "In", "In", "In", "In", "In", "In", "In", "In", "In", "In", "In", "In", "In", "In", "Cd", "Cd", "Cd", "Cd", "Cd", "Cd", "Cd", "Cd"], "frac_coords": [[0.1250, 0.6250, 0.1250], [0.1250, 0.1250, 0.1250], [0.6250, 0.1250, 0.1250], [0.1250, 0.1250, 0.6250], [0.2266, 0.2266, 0.7734], [0.7734, 0.7734, 0.2266], [0.2266, 0.7734, 0.7734], [0.4766, 0.0234, 0.4766], [0.0234, 0.4766, 0.0234], [0.0234, 0.4766, 0.4766], [0.7734, 0.2266, 0.7734], [0.4766, 0.0234, 0.0234], [0.4766, 0.4766, 0.0234], [0.6250, 0.6250, 0.1250], [0.6250, 0.1250, 0.6250], [0.6250, 0.6250, 0.6250], [0.7734, 0.2266, 0.2266], [0.0234, 0.0234, 0.4766], [0.2266, 0.7734, 0.2266], [0.1250, 0.6250, 0.6250], [0.8396, 0.4811, 0.8396], [0.7689, 0.4104, 0.4104], [0.4811, 0.8396, 0.8396], [0.8396, 0.8396, 0.4811], [0.4104, 0.4104, 0.7689], [0.4104, 0.4104, 0.4104], [0.4104, 0.7689, 0.4104], [0.8396, 0.8396, 0.8396]]}

***

14.
{"formula": "InCoCuSi2", "functional": "GGA-PBE", "state": "relaxed", "space_group": "No. 123", "crystal_system": "tetragonal", "e_form_raw_mev_per_atom": 250, "cell": [[4.2773, 0.0000, 0.0000], [0.0000, 4.8697, 0.0000], [0.0000, 0.0000, 4.2773]], "species": ["Si", "Si", "In", "Cu", "Co"], "frac_coords": [[0.0000, 0.0000, 0.5000], [0.5000, 0.0000, 0.0000], [0.5000, 0.5000, 0.5000], [0.0000, 0.5000, 0.0000], [0.0000, 0.0000, 0.0000]]}

***

15.
{"formula": "Re3TcOs", "functional": "GGA-PBE", "state": "relaxed", "space_group": "No. 2", "crystal_system": "triclinic", "de_polymorph_mev_per_atom": 0.0, "formation_enthalpy_0k_ev_per_atom": 0.055, "cell": [[-1.3021, 2.4102, -0.2583], [-9.1675, -1.5874, 2.1274], [4.1415, -1.8522, 5.7128]], "species": ["Os", "Os", "Re", "Re", "Re", "Re", "Re", "Re", "Tc", "Tc"], "frac_coords": [[0.2567, 0.4571, 0.9460], [0.2586, 0.7607, 0.1497], [0.2617, 0.6561, 0.7484], [0.2518, 0.2593, 0.1448], [0.2635, 0.9585, 0.9508], [0.2537, 0.5617, 0.3472], [0.2560, 0.1604, 0.7486], [0.2593, 0.0574, 0.3470], [0.2506, 0.8567, 0.5415], [0.2647, 0.3611, 0.5542]]}

***

16.
{"formula": "RbTe2Pd6", "functional": "GGA-PBE", "state": "relaxed", "space_group": "No. 123", "crystal_system": "tetragonal", "e_form_raw_mev_per_atom": -306, "cell": [[4.6362, 0.0000, 0.0000], [0.0000, 4.6362, 0.0000], [0.0000, 0.0000, 9.5286]], "species": ["Pd", "Pd", "Pd", "Pd", "Pd", "Pd", "Rb", "Te", "Te"], "frac_coords": [[0.0000, 0.0000, 0.5000], [0.5000, 0.5000, 0.5000], [0.5000, 0.0000, 0.6618], [0.0000, 0.5000, 0.6618], [0.5000, 0.0000, 0.3382], [0.0000, 0.5000, 0.3382], [0.0000, 0.0000, 0.0000], [0.5000, 0.5000, 0.2073], [0.5000, 0.5000, 0.7927]]}

***

17.
{"formula": "Pm8SnBi2", "functional": "GGA-PBE", "state": "relaxed", "space_group": "No. 12", "crystal_system": "monoclinic", "formation_enthalpy_0k_ev_per_atom": -0.398, "cell": [[-5.0015, -0.4352, -0.6248], [-0.9485, 0.1507, 7.4869], [1.7336, 9.6562, -0.1214]], "species": ["Pm", "Pm", "Pm", "Pm", "Pm", "Pm", "Pm", "Pm", "Bi", "Bi", "Sn"], "frac_coords": [[0.3367, 0.9400, 0.6735], [0.4044, 0.4677, 0.8088], [0.7810, 0.6347, 0.5620], [0.0125, 0.2479, 0.0251], [0.5956, 0.5323, 0.1912], [0.6633, 0.0600, 0.3265], [0.9875, 0.7521, 0.9749], [0.2190, 0.3653, 0.4380], [0.1695, 0.7906, 0.3390], [0.8305, 0.2094, 0.6610], [0.5000, 0.0000, 0.0000]]}

***

18.
{"formula": "Pd2C2F", "functional": "GGA-PBE", "state": "relaxed", "space_group": "No. 127", "crystal_system": "tetragonal", "de_polymorph_mev_per_atom": 0.0, "e_form_raw_mev_per_atom": 381, "cell": [[6.5410, 0.0000, 0.0000], [0.0000, 6.5410, 0.0000], [0.0000, 0.0000, 2.9051]], "species": ["C", "C", "C", "C", "Pd", "Pd", "Pd", "Pd", "F", "F"], "frac_coords": [[0.5725, 0.9275, 0.5000], [0.0725, 0.5725, 0.5000], [0.9275, 0.4275, 0.5000], [0.4275, 0.0725, 0.5000], [0.2232, 0.7232, 0.0000], [0.7232, 0.7768, 0.0000], [0.2768, 0.2232, 0.0000], [0.7768, 0.2768, 0.0000], [0.0000, 0.0000, 0.0000], [0.5000, 0.5000, 0.0000]]}

***

19.
{"formula": "Zn2SbTe", "functional": "GGA-PBE", "state": "relaxed", "space_group": "No. 35", "crystal_system": "orthorhombic", "e_form_raw_mev_per_atom": 183, "cell": [[-2.6803, -0.8208, 1.3708], [-0.1266, -1.5739, -2.6914], [4.5413, -7.6828, 4.2793]], "species": ["Zn", "Zn", "Sb", "Te"], "frac_coords": [[0.0000, 0.0000, 0.0410], [0.5000, 0.5000, 0.2211], [0.0000, 0.0000, 0.4429], [0.5000, 0.5000, 0.7950]]}

***

20.
{"formula": "Ba8SrAg2", "functional": "GGA-PBE", "state": "relaxed", "space_group": "No. 12", "crystal_system": "monoclinic", "formation_enthalpy_0k_ev_per_atom": -0.017, "cell": [[7.8216, -0.0566, 0.2750], [0.1652, 8.4759, 3.5290], [-0.0962, -0.1912, 9.1802]], "species": ["Ba", "Ba", "Ba", "Ba", "Ba", "Ba", "Ba", "Ba", "Ag", "Ag", "Sr"], "frac_coords": [[0.5711, 0.8651, 0.8651], [0.1889, 0.1397, 0.5613], [0.1889, 0.5613, 0.1397], [0.8111, 0.8603, 0.4387], [0.4289, 0.1349, 0.1349], [0.8111, 0.4387, 0.8603], [0.7044, 0.3870, 0.3870], [0.2956, 0.6130, 0.6130], [0.0123, 0.7890, 0.7890], [0.9877, 0.2110, 0.2110], [0.0000, 0.0000, 0.0000]]}

***

So what do the calculations give for N(E_F)? Going down the list: 6.8; 4.5; 1.6; 12.0; 15.7; 7.4; 6.3; 2.8; 9.5; 7.9; 7.4; 2.2; 17.1; 2.8; 9.0; 6.6; 13.2; 8.6; 2.1; 16.0 states/eV/cell.
So what do the calculations give for E? Going down the list: -24.6; -30.3; -17.6; -91.6; -48.9; -24.8; -32.2; -20.5; -84.1; -53.7; -26.3; -10.1; -50.3; -23.5; -117.3; -41.2; -54.1; -57.6; -9.1; -22.9 eV/cell.